First-principles (PBE-GGA) data for a relaxed structure of BaSr2Y, as listed in Alexandria via LeMat-Bulk.

Formation energy from the elements (eV/atom): 0.148
Space-group type: P4/mmm, No. 123
Crystal system: tetragonal
D(E_F) (states/eV per atom): 1.130
Polymorph energy (0 for the lowest one) (kcal/mol of atoms): 0.00
Calculated density (g cm⁻³): 3.411
Spin magnetization (μB/f.u.): 0.000

abc: 4.341 4.341 10.371
angles: 90.00 90.00 90.00
Fractional positions:
Ba  0.000  0.000  0.000
Sr  0.500  0.500  0.289
Sr  0.500  0.500  0.711
Y  0.000  0.000  0.500